Entry from Alexandria: a relaxed structure of CaPm6Sm2Dy (PBE).

Cell: 9.017 9.017 9.935 Å, 94.67 94.67 118.80°
Positions (direct):
Ca  0.098  0.902  0.750
Ca  0.902  0.098  0.250
Pm  0.002  0.215  0.624
Pm  0.075  0.530  0.177
Pm  0.215  0.002  0.124
Pm  0.263  0.619  0.552
Pm  0.381  0.737  0.948
Pm  0.470  0.925  0.323
Pm  0.530  0.075  0.677
Pm  0.619  0.263  0.052
Pm  0.737  0.381  0.448
Pm  0.785  0.998  0.876
Pm  0.925  0.470  0.823
Pm  0.998  0.785  0.376
Sm  0.200  0.300  0.958
Sm  0.300  0.200  0.458
Sm  0.700  0.800  0.542
Sm  0.800  0.700  0.042
Dy  0.477  0.523  0.250
Dy  0.523  0.477  0.750

Values from the calculation:
Calculated volume: 34.94 Å³ per atom
Uncorrected energy: -4.32 eV/atom